# 1
An optimized crystal structure of AlSi2Pt2, computed with PBE.

Results
**Total energy**: -5.518 eV per atom
**Total magnetization**: 0.0 μB/f.u.
**Energy relative to the elements, uncorrected**: -0.1836 eV/atom
**SG**: P4/mbm, No. 127

a b c (Å): 7.707 7.707 2.664
angles (deg): 90.00 90.00 90.00
Fractional coordinates of all 10 atoms:
Si1 0.130 0.370 0.000
Si2 0.630 0.130 0.000
Si3 0.370 0.870 0.000
Si4 0.870 0.630 0.000
Al1 0.500 0.500 0.000
Al2 0.000 0.000 0.000
Pt1 0.334 0.166 0.500
Pt2 0.834 0.334 0.500
Pt3 0.166 0.666 0.500
Pt4 0.666 0.834 0.500



# 2
An optimized crystal structure of BaReRh2, computed with PBE.

Results
**Energy relative to the lowest polymorph listed for this composition**: 335 meV per atom
**Total energy**: -6.763 eV per atom
**Total magnetization**: 0.0 μB/f.u.
**Energy relative to the elements**: 0.5054 eV/atom
**SG**: Pm, No. 6

a b c (Å): 4.376 3.055 6.494
angles (deg): 81.53 90.00 90.00
Fractional coordinates of all 4 atoms:
Ba1 0.000 0.547 0.468
Re1 0.500 0.729 0.889
Rh1 0.500 0.139 0.206
Rh2 0.000 0.086 0.937



# 3
An optimized crystal structure of Sr4MnAs4, computed with PBE.

Results
**Total energy**: -4.771 eV per atom
**Total magnetization**: 3.0 μB/f.u.
**Energy relative to the elements**: -0.9382 eV/atom
**SG**: P4_2/nmc, No. 137

a b c (Å): 6.537 9.022 9.022
angles (deg): 90.00 90.00 90.00
Last column: magnetic moment on the atom in μB.
Fractional coordinates of all 18 atoms:
Sr1 0.817 0.500 0.229  0.02
Sr2 0.317 0.729 0.000  0.02
Sr3 0.683 0.000 0.271  0.02
Sr4 0.183 0.229 0.500  0.02
Sr5 0.683 0.000 0.729  0.02
Sr6 0.317 0.271 0.000  0.02
Sr7 0.817 0.500 0.771  0.02
Sr8 0.183 0.771 0.500  0.02
As1 0.303 0.500 0.726  -0.07
As2 0.803 0.226 0.000  -0.07
As3 0.303 0.500 0.274  -0.07
As4 0.197 0.000 0.226  -0.07
As5 0.697 0.726 0.500  -0.07
As6 0.697 0.274 0.500  -0.07
As7 0.803 0.774 0.000  -0.07
As8 0.197 0.000 0.774  -0.07
Mn1 0.000 0.000 0.000  2.98
Mn2 0.500 0.500 0.500  2.98



# 4
An optimized crystal structure of HfAl2Cu, computed with PBE.

Results
**Total energy**: -5.564 eV per atom
**Total magnetization**: 0.0 μB/f.u.
**Energy relative to the elements**: -0.1805 eV/atom
**SG**: R-3m, No. 166

a b c (Å): 4.096 4.096 5.234
angles (deg): 66.96 66.96 60.00
Fractional coordinates of all 4 atoms:
Al1 0.216 0.216 0.353
Al2 0.784 0.784 0.647
Cu1 0.500 0.500 0.500
Hf1 0.000 0.000 0.000



# 5
An optimized crystal structure of Pm6NdYTm2, computed with PBE.

Results
**Total energy**: -4.753 eV per atom
**Total magnetization**: 0.0 μB/f.u.
**Energy relative to the elements**: 0.1148 eV/atom
**SG**: C2/c, No. 15

a b c (Å): 9.693 8.920 8.920
angles (deg): 117.69 93.95 93.95
Fractional coordinates of all 20 atoms:
Pm1 0.946 0.886 0.241
Pm2 0.054 0.114 0.759
Pm3 0.183 0.565 0.018
Pm4 0.683 0.018 0.565
Pm5 0.317 0.982 0.435
Pm6 0.554 0.759 0.114
Pm7 0.880 0.294 0.507
Pm8 0.120 0.706 0.493
Pm9 0.380 0.507 0.294
Pm10 0.446 0.241 0.886
Pm11 0.620 0.493 0.706
Pm12 0.817 0.435 0.982
Y1 0.250 0.972 0.028
Y2 0.750 0.028 0.972
Tm1 0.454 0.804 0.703
Tm2 0.546 0.196 0.297
Tm3 0.954 0.703 0.804
Tm4 0.046 0.297 0.196
Nd1 0.250 0.407 0.593
Nd2 0.750 0.593 0.407



# 6
An optimized crystal structure of BeCr2Cu, computed with PBE.

Results
**Total energy**: -6.630 eV per atom
**Total magnetization**: 0.0 μB/f.u.
**Energy relative to the elements**: 0.1375 eV/atom
**SG**: P2/m, No. 10

a b c (Å): 3.893 2.409 5.042
angles (deg): 67.05 90.00 90.00
Fractional coordinates of all 4 atoms:
Cr1 0.000 0.994 0.982
Cr2 0.000 0.506 0.518
Cu1 0.500 0.250 0.250
Be1 0.500 0.750 0.750